A geometry-optimized MnIrBr2 structure. Source: Alexandria, functional PBE.

As for the density: 6.85 Mg/m³. The calculated volume is 24.66 A^3/atom. The value obtained for the formation energy (no corrections) is 0.28 eV per atom.

It has space group Imm2 (No. 44), with a = 3.256 Å, b = 4.021 Å, c = 15.067 Å, α = 90.00°, β = 90.00° and γ = 90.00°. The asymmetric unit holds Mn at (0.000, 0.000, 0.000), Ir at (0.000, 0.500, 0.364), Br at (0.000, 0.000, 0.580) and Br at (0.000, 0.500, 0.836).



A geometry-optimized CaNdYLu structure. Source: Alexandria, functional PBE.

Its formation energy is 0.5 eV/f.u. As for the density: 5.50 Mg/m³. The calculated volume is 33.86 A^3/atom.

It has space group F-43m (No. 216), with a = 8.152 Å, b = 8.152 Å, c = 8.152 Å, α = 90.00°, β = 90.00° and γ = 90.00°. The asymmetric unit holds Ca at (0.000, 0.000, 0.000), Nd at (0.250, 0.250, 0.250), Y at (0.250, 0.250, 0.750) and Lu at (0.000, 0.000, 0.500).



A geometry-optimized Pr4YSc structure. Source: Alexandria, functional PBE.

Its formation energy is 0.2 eV/f.u. As for the density: 5.79 Mg/m³. The calculated volume is 33.34 A^3/atom.

It has space group C2/m (No. 12), with a = 6.269 Å, b = 10.787 Å, c = 6.262 Å, α = 90.00°, β = 109.13° and γ = 90.00°. The asymmetric unit holds Pr at (0.000, 0.162, 0.000), Pr at (0.000, 0.333, 0.500), Y at (0.000, 0.500, 0.000) and Sc at (0.000, 0.000, 0.500).



Q: Which of these has the highest calculated volume?
A: CaNdYLu



Q: Number 2 is which compound?
A: CaNdYLu



Q: The highest density belongs to which entry?
A: MnIrBr2



Q: Which formula does entry 2 have?
A: CaNdYLu